Entry 1:
Here is a relaxed structure of Be3Au5 from Alexandria. Energies are from PBE-GGA.

abc: 2.927 2.927 13.386
angles: 90.00 90.00 90.00
Positions (direct):
Au (0.000, 0.000, 0.000)
Au (0.500, 0.500, 0.609)
Au (0.000, 0.000, 0.221)
Au (0.000, 0.000, 0.779)
Au (0.500, 0.500, 0.391)
Be (0.500, 0.500, 0.117)
Be (0.500, 0.500, 0.883)
Be (0.000, 0.000, 0.500)

Values from the calculation:
- Mass density: 14.65 g/cm³
- N(E_F): 1.23 states/eV/cell
- Symmetry: P4/mmm (123)
- Total energy: -28.7 eV for the cell shown
- E_form: -3.14 kcal/mol of atoms
- Distance to the lowest polymorph of the same formula: 0 meV/atom



Entry 2:
Here is a relaxed structure of CeSmThSn from Alexandria. Energies are from PBE-GGA.

abc: 5.485 5.485 5.485
angles: 60.00 60.00 60.00
Site moments in Bohr magnetons follow the coordinates.
Positions (direct):
Sn (0.250, 0.250, 0.250)  -0.01
Th (0.750, 0.750, 0.750)  0.25
Sm (0.500, 0.500, 0.500)  0.06
Ce (0.000, 0.000, 0.000)  0.62

Values from the calculation:
- Mass density: 9.12 g/cm³
- N(E_F): 8.89 states/eV/cell
- Symmetry: F-43m (216)
- Total energy: -22.7 eV for the cell shown
- E_form: -3.46 kcal/mol of atoms



Entry 3:
Here is a relaxed structure of FeHg2Ru from Alexandria. Energies are from PBE-GGA.

abc: 4.089 4.090 4.095
angles: 90.00 90.00 90.00
Site moments in Bohr magnetons follow the coordinates.
Positions (direct):
Fe (0.000, 0.500, 0.500)  3.01
Hg (0.000, 0.000, 0.000)  -0.02
Hg (0.500, 0.500, 0.000)  -0.02
Ru (0.500, 0.000, 0.500)  0.89

Values from the calculation:
- Mass density: 13.53 g/cm³
- N(E_F): 2.64 states/eV/cell
- Symmetry: P4/mmm (123)
- Total energy: -16.3 eV for the cell shown
- E_form: 11.71 kcal/mol of atoms
- Distance to the lowest polymorph of the same formula: 175 meV/atom



Entry 4:
Here is a relaxed structure of ThAl8Fe4 from Alexandria. Energies are from PBE-GGA.

abc: 5.038 6.707 6.707
angles: 81.89 67.94 67.94
Site moments in Bohr magnetons follow the coordinates.
Positions (direct):
Fe (0.500, 0.000, 0.500)  1.49
Fe (0.500, 0.500, 0.000)  1.49
Fe (0.000, 0.500, 0.000)  1.49
Fe (0.000, 0.000, 0.500)  1.49
Al (0.654, 0.346, 0.346)  -0.02
Al (0.346, 0.654, 0.654)  -0.02
Al (0.724, 0.776, 0.776)  -0.02
Al (0.500, 0.776, 0.224)  -0.02
Al (0.500, 0.224, 0.776)  -0.02
Al (0.000, 0.654, 0.346)  -0.02
Al (0.000, 0.346, 0.654)  -0.02
Al (0.276, 0.224, 0.224)  -0.02
Th (0.000, 0.000, 0.000)  -0.11

Values from the calculation:
- Mass density: 5.73 g/cm³
- N(E_F): 7.49 states/eV/cell
- Symmetry: I4/mmm (139)
- Total energy: -76.5 eV for the cell shown
- E_form: -9.33 kcal/mol of atoms



Entry 5:
Here is a relaxed structure of Ac2La5Pr6 from Alexandria. Energies are from PBE-GGA.

abc: 3.755 12.350 21.390
angles: 90.00 90.00 90.00
Positions (direct):
La (0.500, 0.000, 0.500)
La (0.500, 0.204, 0.946)
La (0.500, 0.296, 0.446)
La (0.500, 0.586, 0.283)
La (0.500, 0.086, 0.217)
La (0.500, 0.414, 0.717)
La (0.500, 0.500, 0.000)
La (0.500, 0.796, 0.054)
La (0.500, 0.914, 0.783)
La (0.500, 0.704, 0.554)
Ac (0.000, 0.671, 0.720)
Ac (0.000, 0.329, 0.280)
Ac (0.000, 0.171, 0.780)
Ac (0.000, 0.829, 0.220)
Pr (0.500, 0.314, 0.123)
Pr (0.000, 0.058, 0.075)
Pr (0.000, 0.428, 0.863)
Pr (0.500, 0.186, 0.623)
Pr (0.000, 0.072, 0.363)
Pr (0.000, 0.442, 0.575)
Pr (0.500, 0.814, 0.377)
Pr (0.000, 0.942, 0.925)
Pr (0.000, 0.558, 0.425)
Pr (0.500, 0.686, 0.877)
Pr (0.000, 0.928, 0.637)
Pr (0.000, 0.572, 0.137)

Values from the calculation:
- Mass density: 6.68 g/cm³
- N(E_F): 36.38 states/eV/cell
- Symmetry: Pbam (55)
- Total energy: -121.0 eV for the cell shown
- E_form: 1.84 kcal/mol of atoms



Entry 6:
Here is a relaxed structure of VTe from Alexandria. Energies are from PBE-GGA.

abc: 10.405 10.405 4.564
angles: 90.00 90.00 90.00
Site moments in Bohr magnetons follow the coordinates.
Positions (direct):
Te (0.776, 0.424, 0.500)  0.01
Te (0.079, 0.264, 0.000)  -0.01
Te (0.921, 0.736, 0.000)  -0.01
Te (0.264, 0.921, 0.000)  -0.01
Te (0.424, 0.224, 0.500)  0.01
Te (0.736, 0.079, 0.000)  -0.01
Te (0.224, 0.576, 0.500)  0.01
Te (0.576, 0.776, 0.500)  0.01
V (0.901, 0.466, 0.000)  0.01
V (0.099, 0.534, 0.000)  0.01
V (0.466, 0.099, 0.000)  0.01
V (0.534, 0.901, 0.000)  0.01
V (0.962, 0.612, 0.500)  0.51
V (0.388, 0.962, 0.500)  0.51
V (0.612, 0.038, 0.500)  0.51
V (0.038, 0.388, 0.500)  0.51

Values from the calculation:
- Mass density: 4.80 g/cm³
- N(E_F): 11.50 states/eV/cell
- Symmetry: P4/m (83)
- Total energy: -100.5 eV for the cell shown
- E_form (uncorrected): -30 kJ/mol of formula units



Entry 7:
Here is a relaxed structure of TmUSn from Alexandria. Energies are from PBE-GGA.

abc: 8.520 8.520 4.659
angles: 90.00 90.00 153.34
Site moments in Bohr magnetons follow the coordinates.
Positions (direct):
U (0.744, 0.256, 0.250)  2.73
U (0.256, 0.744, 0.750)  2.73
Tm (0.927, 0.073, 0.750)  0.06
Tm (0.073, 0.927, 0.250)  0.06
Sn (0.401, 0.599, 0.250)  -0.04
Sn (0.599, 0.401, 0.750)  -0.04

Values from the calculation:
- Mass density: 11.50 g/cm³
- N(E_F): 6.11 states/eV/cell
- Symmetry: Cmcm (63)
- Total energy: -40.9 eV for the cell shown
- E_form: -5.37 kcal/mol of atoms



Entry 8:
Here is a relaxed structure of Y4AgAu3 from Alexandria. Energies are from PBE-GGA.

abc: 3.720 4.732 11.066
angles: 90.00 90.00 90.00
Positions (direct):
Y (0.500, 0.000, 0.639)
Y (0.000, 0.000, 0.140)
Y (0.000, 0.500, 0.858)
Y (0.500, 0.500, 0.364)
Ag (0.500, 0.500, 0.084)
Au (0.000, 0.000, 0.412)
Au (0.000, 0.500, 0.588)
Au (0.500, 0.000, 0.915)

Values from the calculation:
- Mass density: 8.99 g/cm³
- N(E_F): 6.76 states/eV/cell
- Symmetry: Pmm2 (25)
- Total energy: -44.4 eV for the cell shown
- E_form: -16.99 kcal/mol of atoms
- Distance to the lowest polymorph of the same formula: 0 meV/atom